1.
DFT (PBE-GGA) results for crystalline PmPPb2 at its relaxed geometry.

Calculated values
Crystal system: tetragonal
Total DFT energy (no corrections), eV/atom: -4.71

Unit cell a=4.403 b=4.403 c=5.445 alpha=90.00 beta=90.00 gamma=90.00
Positions (direct):
Pm  0.000  0.000  0.000
P  0.500  0.500  0.000
Pb  0.000  0.500  0.500
Pb  0.500  0.000  0.500

2.
DFT (PBE-GGA) results for crystalline Hf3TiSn2 at its relaxed geometry.

Calculated values
Crystal system: orthorhombic
Total DFT energy (no corrections), eV/atom: -7.41
Offset from the most stable computed form, meV/atom: 322

Unit cell a=8.938 b=8.938 c=8.938 alpha=160.21 beta=145.93 gamma=39.71
Positions (direct):
Hf  0.000  0.000  0.000
Hf  0.328  0.828  0.500
Hf  0.672  0.172  0.500
Ti  0.500  0.000  0.500
Sn  0.155  0.655  0.500
Sn  0.845  0.345  0.500

3.
DFT (PBE-GGA) results for crystalline Ba2CdTc at its relaxed geometry.

Calculated values
Crystal system: trigonal
Total DFT energy (no corrections), eV/atom: -3.07
Offset from the most stable computed form, meV/atom: 261

Unit cell a=10.701 b=10.701 c=10.701 alpha=20.66 beta=20.66 gamma=20.66
Positions (direct):
Ba  0.237  0.237  0.237
Ba  0.763  0.763  0.763
Cd  0.000  0.000  0.000
Tc  0.500  0.500  0.500

4.
DFT (PBE-GGA) results for crystalline Zr5CdRu4 at its relaxed geometry.

Calculated values
Crystal system: tetragonal
Total DFT energy (no corrections), eV/atom: -8.60

Unit cell a=3.266 b=3.266 c=17.337 alpha=90.00 beta=90.00 gamma=90.00
Positions (direct):
Zr  0.000  0.000  0.000
Zr  0.000  0.000  0.190
Zr  0.000  0.000  0.380
Zr  0.000  0.000  0.620
Zr  0.000  0.000  0.810
Cd  0.500  0.500  0.500
Ru  0.500  0.500  0.095
Ru  0.500  0.500  0.285
Ru  0.500  0.500  0.715
Ru  0.500  0.500  0.905

Taking the records one at a time from the top gives energy of formation from the pure elements values of -0.31; 0.22; 0.71; -0.52 eV/atom.